(1)
Pm2Er2Pb7 | PBE-GGA | optimized geometry

## Properties
Its volume is 757 Å³ per cell. The formation energy is -0.038 eV/atom.

a b c (Å): 9.7136 11.2067 6.9508
angles (deg): 90.00 90.00 90.00
Space group Cmmm (No. 65)
Inequivalent atoms, fractional coordinates:
Pm 0.1888 0.0000 0.0000
Er 0.0000 0.2696 0.5000
Pb 0.0000 0.0000 0.5000
Pb 0.0000 0.5000 0.2208
Pb 0.2500 0.2500 0.2243

---

(2)
Pm6Er8Pb | PBE-GGA | optimized geometry

## Properties
Its volume is 501 Å³ per cell. The formation energy is 0.182 eV/atom.

a b c (Å): 9.3007 9.3007 6.6843
angles (deg): 90.00 90.00 120.00
Space group P-3 (No. 147)
Inequivalent atoms, fractional coordinates:
Pm 0.0790 0.3956 0.3961
Er 0.0161 0.6869 0.1071
Er 0.3333 0.6667 0.8272
Pb 0.0000 0.0000 0.5000

---

(3)
Pm5ErPb6 | PBE-GGA | optimized geometry

## Properties
Its energy relative to the lowest polymorph listed for this composition is 0.0 meV/atom. Its volume is 704 Å³ per cell. The formation energy is -0.485 eV/atom.

a b c (Å): 16.1167 9.1350 5.0266
angles (deg): 90.00 108.02 90.00
Space group C2/m (No. 12)
Inequivalent atoms, fractional coordinates:
Pm 0.0000 0.0000 0.0000
Pm 0.1641 0.5000 0.6643
Pm 0.1667 0.0000 0.6668
Er 0.0000 0.5000 0.0000
Pb 0.0000 0.2524 0.5000
Pb 0.1655 0.2512 0.1656

---

(4)
Pm2Er3Pb | PBE-GGA | optimized geometry

## Properties
Its volume is 366 Å³ per cell. The formation energy is -0.169 eV/atom.

a b c (Å): 4.8638 15.2535 4.9385
angles (deg): 90.00 90.00 90.00
Space group Cmmm (No. 65)
Inequivalent atoms, fractional coordinates:
Pm 0.0000 0.1615 0.0000
Er 0.0000 0.0000 0.5000
Er 0.0000 0.3324 0.5000
Pb 0.0000 0.5000 0.0000

---

(5)
Pm12ErPb7 | PBE-GGA | optimized geometry

## Properties
Its volume is 1945 Å³ per cell. The formation energy is -0.277 eV/atom.

a b c (Å): 15.8621 15.8621 8.9274
angles (deg): 90.00 90.00 120.00
Space group R-3m (No. 166, hexagonal axes)
Inequivalent atoms, fractional coordinates:
Pm 0.0000 0.2768 0.0000
Pm 0.1094 0.5547 0.0527
Er 0.0000 0.0000 0.0000
Pb 0.0000 0.0000 0.5000
Pb 0.1010 0.2020 0.7655

---

(6)
PmErPb | PBE-GGA | optimized geometry

## Properties
Its energy relative to the lowest polymorph listed for this composition is 234.3 meV/atom. Its volume is 405 Å³ per cell. The formation energy is -0.205 eV/atom.

a b c (Å): 7.3989 7.3989 7.3989
angles (deg): 90.00 90.00 90.00
Space group F-43m (No. 216)
Inequivalent atoms, fractional coordinates:
Pm 0.0000 0.0000 0.0000
Er 0.0000 0.0000 0.5000
Pb 0.2500 0.2500 0.2500

---

(7)
Pm3Er2Pb6 | PBE-GGA | optimized geometry

## Properties
Its volume is 775 Å³ per cell. The formation energy is -0.118 eV/atom.

a b c (Å): 5.8709 5.8709 22.4717
angles (deg): 90.00 90.00 90.00
Space group I4/mmm (No. 139)
Inequivalent atoms, fractional coordinates:
Pm 0.0000 0.0000 0.0000
Pm 0.0000 0.0000 0.1531
Er 0.0000 0.0000 0.4257
Pb 0.0000 0.0000 0.2935
Pb 0.0000 0.5000 0.0775

---

(8)
Pm7Er12Pb | PBE-GGA | optimized geometry

## Properties
Its volume is 642 Å³ per cell. The formation energy is 0.039 eV/atom.

a b c (Å): 8.4376 9.0928 9.8037
angles (deg): 73.92 78.62 62.99
Space group P-1 (No. 2)
Inequivalent atoms, fractional coordinates:
Pm 0.0000 0.0000 0.0000
Pm 0.0921 0.3389 0.1560
Pm 0.3277 0.9293 0.2921
Pm 0.4248 0.2130 0.4082
Er 0.1082 0.0452 0.6196
Er 0.2215 0.2734 0.7968
Er 0.2411 0.6276 0.2338
Er 0.2834 0.6169 0.5684
Er 0.3241 0.5705 0.9022
Er 0.4602 0.8535 0.9452
Pb 0.0000 0.5000 0.5000